Record 1
{"formula": "Nd2DySn3Ir2Pd", "functional": "PBE-GGA", "state": "relaxed", "e_tot_ev_per_atom": -6.27, "lattice_angstrom": [[4.0891, 0.0000, 0.0000], [0.0000, 6.5162, 3.7835], [0.0000, -6.5162, 3.7835]], "species": ["Nd", "Nd", "Dy", "Sn", "Sn", "Sn", "Ir", "Ir", "Pd"], "frac_coords": [[0.0000, 0.2066, 0.7934], [0.0000, 0.7934, 0.2066], [0.0000, 0.6194, 0.6194], [0.5000, 0.2093, 0.4661], [0.5000, 0.4661, 0.2093], [0.5000, 0.9485, 0.9485], [0.5000, 0.5433, 0.8678], [0.5000, 0.8678, 0.5433], [0.0000, 0.2121, 0.2121]]}

=====

Record 2
{"formula": "Nd2DyZn3Ir2Pt", "functional": "PBE-GGA", "state": "relaxed", "formation_enthalpy_0k_ev_per_atom": -0.727, "e_tot_ev_per_atom": -5.36, "lattice_angstrom": [[3.9721, 0.0000, 0.0000], [0.0000, 6.2806, 3.6473], [0.0000, -6.2806, 3.6473]], "species": ["Nd", "Nd", "Dy", "Zn", "Zn", "Zn", "Ir", "Ir", "Pt"], "frac_coords": [[0.0000, 0.2064, 0.7936], [0.0000, 0.7936, 0.2064], [0.0000, 0.3861, 0.3861], [0.5000, 0.0436, 0.0436], [0.5000, 0.5448, 0.7898], [0.5000, 0.7898, 0.5448], [0.5000, 0.1350, 0.4568], [0.5000, 0.4568, 0.1350], [0.0000, 0.7879, 0.7879]]}